# 1
DFT (PBE) results for an optimized crystal structure of NdAl6Os.

Output
E_form = 2 kJ per mole of atoms
Mass density = 4.62 g/cm3
Spin magnetization = 0.0 Bohr magnetons per cell
DOS(E_F) = 0.448 states/eV per atom

a b c (Å): 6.672 6.672 6.672
angles (deg): 53.58 53.58 53.58
Element x y z (fractional)
Nd 0.000 0.000 0.000
Al 0.050 0.592 0.592
Al 0.408 0.408 0.950
Al 0.408 0.950 0.408
Al 0.592 0.050 0.592
Al 0.592 0.592 0.050
Al 0.950 0.408 0.408
Os 0.500 0.500 0.500

# 2
DFT (PBE) results for an optimized crystal structure of K3La.

Output
E_form = 40 kJ per mole of atoms
Mass density = 1.88 g/cm3
Spin magnetization = 1.4 Bohr magnetons per cell
DOS(E_F) = 1.473 states/eV per atom

a b c (Å): 7.560 7.560 3.951
angles (deg): 90.00 90.00 90.00
Element x y z (fractional)
K 0.000 0.000 0.000
K 0.000 0.500 0.500
K 0.500 0.000 0.500
La 0.500 0.500 0.000

# 3
DFT (PBE) results for an optimized crystal structure of K2FeSiGe.

Output
Mass density = 2.25 g/cm3
Spin magnetization = 1.5 Bohr magnetons per cell
DOS(E_F) = 1.108 states/eV per atom
Uncorrected formation energy = 73.4 kJ/mol of atoms

a b c (Å): 6.252 6.252 4.429
angles (deg): 90.00 90.00 90.00
Element x y z (fractional)
K 0.000 0.500 0.000
K 0.500 0.000 0.000
Fe 0.000 0.000 0.500
Si 0.000 0.000 0.000
Ge 0.500 0.500 0.500

# 4
DFT (PBE) results for an optimized crystal structure of BaAcPrCd.

Output
E_form = 11 kJ per mole of atoms
Mass density = 6.62 g/cm3
Spin magnetization = 0.0 Bohr magnetons per cell
DOS(E_F) = 1.350 states/eV per atom

a b c (Å): 6.027 6.027 6.027
angles (deg): 60.00 60.00 60.00
Element x y z (fractional)
Ba 0.000 0.000 0.000
Ac 0.750 0.750 0.750
Pr 0.500 0.500 0.500
Cd 0.250 0.250 0.250

# 5
DFT (PBE) results for an optimized crystal structure of K3Mo3C3Se4N2.

Output
Mass density = 3.93 g/cm3
Spin magnetization = 0.0 Bohr magnetons per cell
DOS(E_F) = 0.315 states/eV per atom
Uncorrected formation energy = -46.5 kJ/mol of atoms

a b c (Å): 9.597 9.597 9.597
angles (deg): 104.53 104.53 119.87
Element x y z (fractional)
K 0.124 0.780 0.904
K 0.220 0.124 0.344
K 0.250 0.750 0.500
K 0.750 0.250 0.500
K 0.780 0.876 0.656
K 0.876 0.220 0.096
Mo 0.294 0.294 0.000
Mo 0.345 0.448 0.793
Mo 0.448 0.655 0.103
Mo 0.552 0.345 0.897
Mo 0.655 0.552 0.207
Mo 0.706 0.706 0.000
C 0.066 0.066 0.000
C 0.169 0.395 0.564
C 0.395 0.831 0.227
C 0.605 0.169 0.773
C 0.831 0.605 0.436
C 0.934 0.934 0.000
Se 0.111 0.407 0.899
Se 0.213 0.111 0.704
Se 0.407 0.509 0.296
Se 0.491 0.787 0.899
Se 0.509 0.213 0.101
Se 0.593 0.491 0.704
Se 0.787 0.889 0.296
Se 0.889 0.593 0.101
N 0.071 0.369 0.440
N 0.369 0.929 0.298
N 0.631 0.071 0.702
N 0.929 0.631 0.560

# 6
DFT (PBE) results for an optimized crystal structure of CaErNiAu.

Output
E_form = -47 kJ per mole of atoms
Mass density = 9.01 g/cm3
Spin magnetization = 0.0 Bohr magnetons per cell
DOS(E_F) = 0.436 states/eV per atom

a b c (Å): 4.941 4.941 4.941
angles (deg): 60.00 60.00 60.00
Element x y z (fractional)
Ca 0.000 0.000 0.000
Er 0.500 0.500 0.500
Ni 0.250 0.250 0.250
Au 0.750 0.750 0.750

# 7
DFT (PBE) results for an optimized crystal structure of Ta4CuN.

Output
Mass density = 13.55 g/cm3
Spin magnetization = 0.0 Bohr magnetons per cell
DOS(E_F) = 0.626 states/eV per atom
Uncorrected formation energy = -5.2 kJ/mol of atoms

a b c (Å): 6.966 4.879 6.281
angles (deg): 90.00 113.07 90.00
Element x y z (fractional)
Ta 0.143 0.242 0.313
Ta 0.143 0.258 0.813
Ta 0.251 0.717 0.114
Ta 0.251 0.783 0.614
Ta 0.749 0.217 0.386
Ta 0.749 0.283 0.886
Ta 0.857 0.742 0.187
Ta 0.857 0.758 0.687
Cu 0.500 0.000 0.000
Cu 0.500 0.500 0.500
N 0.000 0.000 0.000
N 0.000 0.500 0.500

# 8
DFT (PBE) results for an optimized crystal structure of YZnTe3.

Output
Mass density = 5.82 g/cm3
Energy above the most stable polymorph in this dataset = 0.000 eV/atom
Spin magnetization = 0.0 Bohr magnetons per cell
DOS(E_F) = 0.630 states/eV per atom
Uncorrected formation energy = -70.2 kJ/mol of atoms

a b c (Å): 7.898 7.898 9.716
angles (deg): 90.00 90.00 149.65
Element x y z (fractional)
Y 0.237 0.763 0.750
Y 0.763 0.237 0.250
Zn 0.029 0.971 0.250
Zn 0.971 0.029 0.750
Te 0.158 0.842 0.067
Te 0.158 0.842 0.433
Te 0.418 0.582 0.250
Te 0.582 0.418 0.750
Te 0.842 0.158 0.567
Te 0.842 0.158 0.933